VASP calculation (GGA-PBE) on crystalline Li5Tm3F12 at its relaxed geometry.

Lattice parameters (Å, degrees): 10.6180 10.6180 10.6180 109.47 109.47 109.47
Closest atoms and distances in Å follow each position.
Element x y z (fractional)
Tm: 0.7500 0.3750 0.1250  8 F 2.35-2.37
Tm: 0.8750 0.7500 0.1250  8 F 2.35-2.37
Tm: 0.3750 0.7500 0.6250  8 F 2.35-2.37
Tm: 0.2500 0.1250 0.3750  8 F 2.35-2.37
Tm: 0.8750 0.1250 0.2500  8 F 2.35-2.37
Tm: 0.3750 0.6250 0.2500  8 F 2.35-2.37
Tm: 0.6250 0.3750 0.7500  8 F 2.35-2.37
Tm: 0.1250 0.8750 0.7500  8 F 2.35-2.37
Tm: 0.7500 0.8750 0.6250  8 F 2.35-2.37
Tm: 0.6250 0.2500 0.3750  8 F 2.35-2.37
Tm: 0.1250 0.2500 0.8750  8 F 2.35-2.37
Tm: 0.2500 0.6250 0.8750  8 F 2.35-2.37
Li: 0.1250 0.3750 0.2500  4 F 1.82
Li: 0.0000 0.5000 0.0000  6 F 2.06
Li: 0.0000 0.0000 0.0000  6 F 2.06
Li: 0.3750 0.2500 0.1250  4 F 1.82
Li: 0.5000 0.0000 0.5000  6 F 2.06
Li: 0.5000 0.5000 0.0000  6 F 2.06
Li: 0.1250 0.7500 0.3750  4 F 1.82
Li: 0.7500 0.1250 0.8750  4 F 1.82
Li: 0.7500 0.6250 0.3750  4 F 1.82
Li: 0.3750 0.1250 0.7500  4 F 1.82
Li: 0.6250 0.8750 0.2500  4 F 1.82
Li: 0.5000 0.5000 0.5000  6 F 2.06
Li: 0.5000 0.0000 0.0000  6 F 2.06
Li: 0.0000 0.0000 0.5000  6 F 2.06
Li: 0.2500 0.3750 0.6250  4 F 1.82
Li: 0.2500 0.8750 0.1250  4 F 1.82
Li: 0.0000 0.5000 0.5000  6 F 2.06
Li: 0.8750 0.2500 0.6250  4 F 1.82
Li: 0.6250 0.7500 0.8750  4 F 1.82
Li: 0.8750 0.6250 0.7500  4 F 1.82
F: 0.7154 0.1246 0.0318  1 Li 1.82
F: 0.3165 0.5318 0.4072  1 Li 1.82
F: 0.9682 0.3754 0.2846  1 Li 1.82
F: 0.5318 0.2154 0.1246  1 Li 1.82
F: 0.5908 0.7154 0.6835  1 Li 1.82
F: 0.9682 0.5928 0.1835  1 Li 1.82
F: 0.3165 0.7846 0.4092  1 Li 1.82
F: 0.0928 0.9092 0.1246  1 Li 1.82
F: 0.5928 0.9682 0.6835  1 Li 1.82
F: 0.7154 0.5908 0.1835  1 Li 1.82
F: 0.7846 0.4682 0.3754  1 Li 1.82
F: 0.8165 0.9072 0.0318  1 Li 1.82
F: 0.1246 0.7154 0.5318  1 Li 1.82
F: 0.3754 0.4072 0.0908  1 Li 1.82
F: 0.0908 0.9072 0.3754  1 Li 1.82
F: 0.4092 0.1246 0.5928  1 Li 1.82
F: 0.0908 0.1835 0.2154  1 Li 1.82
F: 0.4682 0.6835 0.0928  1 Li 1.82
F: 0.8165 0.9092 0.2846  1 Li 1.82
F: 0.1246 0.4092 0.0928  1 Li 1.82
F: 0.3754 0.9682 0.7846  1 Li 1.82
F: 0.5928 0.6246 0.4092  1 Li 1.82
F: 0.9072 0.8165 0.5318  1 Li 1.82
F: 0.7846 0.3165 0.9092  1 Li 1.82
F: 0.4072 0.3754 0.5908  1 Li 1.82
F: 0.0928 0.1835 0.4682  1 Li 1.82
F: 0.2154 0.6835 0.0908  1 Li 1.82
F: 0.1835 0.0908 0.7154  1 Li 1.82
F: 0.6246 0.0318 0.2154  1 Li 1.82
F: 0.8754 0.5908 0.9072  1 Li 1.82
F: 0.5318 0.3165 0.9072  1 Li 1.82
F: 0.5908 0.8754 0.4072  1 Li 1.82
F: 0.9092 0.8165 0.7846  1 Li 1.82
F: 0.9092 0.0928 0.6246  1 Li 1.82
F: 0.8754 0.2846 0.4682  1 Li 1.82
F: 0.1835 0.0928 0.9682  1 Li 1.82
F: 0.6246 0.5928 0.9092  1 Li 1.82
F: 0.4072 0.0318 0.3165  1 Li 1.82
F: 0.2846 0.4092 0.8165  1 Li 1.82
F: 0.2154 0.5318 0.6246  1 Li 1.82
F: 0.9072 0.0908 0.8754  1 Li 1.82
F: 0.6835 0.2154 0.5908  1 Li 1.82
F: 0.4682 0.7846 0.8754  1 Li 1.82
F: 0.0318 0.4072 0.8165  1 Li 1.82
F: 0.4092 0.2846 0.3165  1 Li 1.82
F: 0.0318 0.6246 0.7154  1 Li 1.82
F: 0.6835 0.4682 0.5928  1 Li 1.82
F: 0.2846 0.8754 0.9682  1 Li 1.82

Output
Size of the total moment   0.53 μB per formula unit
Formation energy without anion corrections   -3.2474 eV per atom
E_tot   -441.55 eV per cell
ρ   5.55 g/cm³
DOS(E_F)   16.3 states/eV per cell
Crystal system   cubic